Entry 1:
The following is a PBE calculation of an optimized crystal structure of LiPm2SnN, from Alexandria.

Properties
**Crystal system**: tetragonal

abc: 4.9813 4.9813 4.3666
angles: 90.00 90.00 90.00
Last column: nearest neighbours and their distance in Å.
Sites, in units of the cell vectors:
Li1 0.0000 0.0000 0.0000  2 N 2.18
Pm1 0.0000 0.5000 0.5000  2 N 2.49
Pm2 0.5000 0.0000 0.5000  2 N 2.49
Sn1 0.5000 0.5000 0.0000  8 Pm 3.31, 4 Li 3.52
N1 0.0000 0.0000 0.5000  2 Li 2.18

Entry 2:
The following is a PBE calculation of an optimized crystal structure of LiPmTa2N4, from Alexandria.

Properties
**Crystal system**: orthorhombic

abc: 5.4798 5.4798 10.6513
angles: 90.00 90.00 145.49
Last column: nearest neighbours and their distance in Å.
Sites, in units of the cell vectors:
Li1 0.1615 0.8385 0.7500  4 N 1.87-1.90
Li2 0.8385 0.1615 0.2500  4 N 1.87-1.90
Pm1 0.1113 0.8887 0.2500  6 N 2.48-2.56
Pm2 0.8887 0.1113 0.7500  6 N 2.48-2.56
Ta1 0.3752 0.6248 0.0539  6 N 2.07-2.27
Ta2 0.3752 0.6248 0.4461  6 N 2.07-2.27
Ta3 0.6248 0.3752 0.5539  6 N 2.07-2.27
Ta4 0.6248 0.3752 0.9461  6 N 2.07-2.27
N1 0.0000 0.0000 0.0000  4 Ta 2.16
N2 0.0000 0.0000 0.5000  4 Ta 2.16
N3 0.2664 0.7336 0.6082  1 Li 1.87, 1 Ta 2.07
N4 0.2664 0.7336 0.8918  1 Li 1.87, 1 Ta 2.07
N5 0.4330 0.5670 0.2500  2 Li 1.90
N6 0.5670 0.4330 0.7500  2 Li 1.90
N7 0.7336 0.2664 0.1082  1 Li 1.87, 1 Ta 2.07
N8 0.7336 0.2664 0.3918  1 Li 1.87, 1 Ta 2.07

Entry 3:
The following is a PBE calculation of an optimized crystal structure of LiPmTcN3, from Alexandria.

Properties
**Crystal system**: orthorhombic

abc: 6.0069 6.0069 8.0331
angles: 90.00 90.00 147.44
Last column: nearest neighbours and their distance in Å.
Sites, in units of the cell vectors:
Li1 0.0000 0.0000 0.0000  2 N 2.08
Li2 0.0000 0.0000 0.5000  2 N 2.08
Pm1 0.2973 0.7027 0.7500  4 N 2.47-2.62
Pm2 0.7027 0.2973 0.2500  4 N 2.47-2.62
Tc1 0.4426 0.5574 0.2500  2 N 1.79
Tc2 0.5574 0.4426 0.7500  2 N 1.79
N1 0.0456 0.9544 0.2500  2 Tc 2.06, 2 Li 2.08
N2 0.3547 0.6453 0.0656  1 Tc 1.79
N3 0.3547 0.6453 0.4344  1 Tc 1.79
N4 0.6453 0.3547 0.5656  1 Tc 1.79
N5 0.6453 0.3547 0.9344  1 Tc 1.79
N6 0.9544 0.0456 0.7500  2 Tc 2.06, 2 Li 2.08

no.,formation energy without anion corrections (eV/atom)
1,-0.913
2,-1.148
3,-0.545